Ag6Cl5F2: optimized geometry, PBE.

Calculated values
Crystal system   orthorhombic
Magnetic moment   0.000 μB per formula unit
DOS(E_F)   22.4 states/eV per cell
Symmetry   No. 55
Raw formation energy   -0.57 eV per atom

```
26
Lattice="9.915 0.000 0.000 0.000 17.451 0.000 0.000 0.000 3.871" Properties=species:S:1:pos:R:3 pbc="T T T"
Ag 0.180 1.799 0.000
Ag 0.854 6.288 0.000
Ag 1.538 12.902 1.935
Ag 3.419 4.177 1.935
Ag 4.104 15.014 0.000
Ag 4.778 10.525 0.000
Ag 5.137 6.926 0.000
Ag 5.811 2.437 0.000
Ag 6.496 13.274 1.935
Ag 8.377 4.549 1.935
Ag 9.061 11.162 0.000
Ag 9.736 15.651 0.000
Cl 0.000 0.000 1.935
Cl 0.609 10.486 1.935
Cl 0.900 3.468 1.935
Cl 4.058 12.193 1.935
Cl 4.349 1.761 1.935
Cl 4.958 8.725 1.935
Cl 5.566 15.690 1.935
Cl 5.858 5.257 1.935
Cl 9.015 13.983 1.935
Cl 9.306 6.964 1.935
F 1.954 14.330 0.000
F 3.004 5.604 0.000
F 6.912 11.846 0.000
F 7.961 3.121 0.000
```